[1]
Sc4Al12Ag: optimized geometry, PBE.

Cell: 7.3334 7.3334 7.3334 Å, 109.47 109.47 109.47°
Closest atoms and distances in Å follow each position.
Sites, in units of the cell vectors:
Sc 0.0000 0.0000 0.5000  12 Al 2.99-3.02
Sc 0.5000 0.0000 0.0000  12 Al 2.99-3.02
Sc 0.5000 0.5000 0.5000  12 Al 2.99-3.02
Sc 0.0000 0.5000 0.0000  12 Al 2.99-3.02
Al 0.0000 0.2992 0.2992  1 Ag 2.53, 4 Al 2.72
Al 0.0000 0.7008 0.7008  1 Ag 2.53, 4 Al 2.72
Al 0.7008 0.7008 0.0000  1 Ag 2.53, 4 Al 2.72
Al 0.2992 0.2992 0.0000  1 Ag 2.53, 4 Al 2.72
Al 0.2992 0.0000 0.2992  1 Ag 2.53, 4 Al 2.72
Al 0.7008 0.0000 0.7008  1 Ag 2.53, 4 Al 2.72
Al 0.5000 0.2500 0.7500  8 Al 2.72-2.99, 4 Sc 2.99
Al 0.5000 0.7500 0.2500  8 Al 2.72-2.99, 4 Sc 2.99
Al 0.7500 0.2500 0.5000  8 Al 2.72-2.99, 4 Sc 2.99
Al 0.2500 0.7500 0.5000  8 Al 2.72-2.99, 4 Sc 2.99
Al 0.7500 0.5000 0.2500  8 Al 2.72-2.99, 4 Sc 2.99
Al 0.2500 0.5000 0.7500  8 Al 2.72-2.99, 4 Sc 2.99
Ag 0.0000 0.0000 0.0000  6 Al 2.53

## Properties
Energy relative to the elements ... -6.227 eV/f.u.
Total DFT energy (no corrections) ... -4.666 eV/atom
Magnetization ... 0.00 μB/cell

***

[2]
ZrTaMn2I: optimized geometry, PBE.

Cell: 4.8275 5.3491 4.8275 Å, 90.00 90.00 90.00°
Closest atoms and distances in Å follow each position.
Sites, in units of the cell vectors:
I 0.5000 0.5000 0.5000  4 Zr 3.41, 8 Mn 3.60
Mn 0.0000 0.0000 0.5000  2 Ta 2.41
Mn 0.5000 0.0000 0.0000  2 Ta 2.41
Zr 0.0000 0.5000 0.0000  2 Ta 2.67
Ta 0.0000 0.0000 0.0000  4 Mn 2.41, 2 Zr 2.67

## Properties
Total DFT energy (no corrections) ... -6.881 eV/atom
Magnetization ... 5.81 μB/cell
Formation energy without anion corrections ... 1.1768 eV per atom

***

[3]
NaCdSi3: optimized geometry, PBE.

Cell: 4.9847 4.9847 4.9847 Å, 90.00 90.00 90.00°
Closest atoms and distances in Å follow each position.
Sites, in units of the cell vectors:
Na 0.0000 0.0000 0.0000  6 Si 2.49
Si 0.0000 0.5000 0.0000  2 Na 2.49
Si 0.0000 0.0000 0.5000  2 Na 2.49
Si 0.5000 0.0000 0.0000  2 Na 2.49
Cd 0.5000 0.5000 0.5000  12 Si 3.52

## Properties
Relative energy among the computed polymorphs ... 370 meV/atom
Total DFT energy (no corrections) ... -2.302 eV/atom
Magnetization ... 0.00 μB/cell
Formation energy without anion corrections ... 1.3984 eV per atom

***

[4]
NaLa2TiSb: optimized geometry, PBE.

Cell: 5.5928 5.3248 5.5928 Å, 90.00 90.00 90.00°
Closest atoms and distances in Å follow each position.
Sites, in units of the cell vectors:
Sb 0.0000 0.5000 0.0000  2 Ti 2.66
Ti 0.0000 0.0000 0.0000  2 Sb 2.66, 4 La 2.80
Na 0.5000 0.5000 0.5000  8 La 3.86, 4 Sb 3.95
La 0.0000 0.0000 0.5000  2 Ti 2.80
La 0.5000 0.0000 0.0000  2 Ti 2.80

## Properties
Total DFT energy (no corrections) ... -4.580 eV/atom
Magnetization ... 0.00 μB/cell
Formation energy without anion corrections ... 0.0583 eV per atom

***

[5]
AgC4: optimized geometry, PBE.

Cell: 3.4171 3.4171 6.3245 Å, 81.43 81.43 67.82°
Closest atoms and distances in Å follow each position.
Sites, in units of the cell vectors:
Ag 0.0000 0.0000 0.0000  2 C 2.10
C 0.3343 0.3343 0.7937  1 C 1.26
C 0.6657 0.6657 0.2063  1 C 1.26
C 0.4409 0.4409 0.6009  2 C 1.26-1.33
C 0.5591 0.5591 0.3991  2 C 1.26-1.33

## Properties
Energy relative to the elements ... 6.818 eV/f.u.
Relative energy among the computed polymorphs ... 0 meV/atom
Total DFT energy (no corrections) ... -6.586 eV/atom
Magnetization ... 0.00 μB/cell

***

[6]
Ce2PrRu: optimized geometry, PBE.

Cell: 4.6522 4.6522 5.8594 Å, 66.61 66.61 60.00°
Closest atoms and distances in Å follow each position.
Sites, in units of the cell vectors:
Ce 0.0092 0.0092 0.9725  3 Ru 2.83, 3 Ce 2.94
Ce 0.2664 0.2664 0.2009  3 Ce 2.94, 3 Pr 3.17
Pr 0.4920 0.4920 0.5241  3 Ru 3.05, 3 Ce 3.17
Ru 0.7325 0.7325 0.8025  3 Ce 2.83, 3 Pr 3.05

## Properties
Energy relative to the elements ... 0.099 eV/f.u.
Relative energy among the computed polymorphs ... 230 meV/atom
Total DFT energy (no corrections) ... -6.456 eV/atom
Magnetization ... 0.84 μB/cell